Er3In4Ni2 after structural relaxation, computed with PBE-GGA.

Properties
Density   8.95 g/cm³
Magnetic moment   0.000 μB/atom
DOS(E_F)   0.51 states/eV/atom
Total energy   -39.9 eV per cell

Cell lengths 5.980, 5.980, 8.874 Å; angles 114.19, 114.19, 44.73 degrees
Element x y z (fractional)
Er: 0.000 0.000 0.000
Er: 0.314 0.314 0.372
Er: 0.686 0.686 0.628
In: 0.022 0.022 0.353
In: 0.277 0.277 0.921
In: 0.723 0.723 0.079
In: 0.978 0.978 0.647
Ni: 0.403 0.403 0.733
Ni: 0.597 0.597 0.267

Er2InNi after structural relaxation, computed with PBE-GGA.

Properties
Density   9.44 g/cm³
Magnetic moment   0.000 μB/atom
Offset from the most stable computed form   0.000 eV/f.u.
DOS(E_F)   0.93 states/eV/atom
Total energy   -19.5 eV per cell

Cell lengths 3.420, 3.420, 7.639 Å; angles 90.00, 90.00, 90.00 degrees
Element x y z (fractional)
Er: 0.000 0.000 0.213
Er: 0.000 0.000 0.787
In: 0.500 0.500 0.500
Ni: 0.500 0.500 0.000

Er2InNi after structural relaxation, computed with PBE-GGA.

Properties
Density   9.29 g/cm³
Magnetic moment   0.000 μB/atom
Offset from the most stable computed form   0.481 eV/f.u.
DOS(E_F)   0.95 states/eV/atom
Total energy   -75.9 eV per cell

Cell lengths 7.136, 7.136, 7.136 Å; angles 90.00, 90.00, 90.00 degrees
Element x y z (fractional)
Er: 0.250 0.250 0.250
Er: 0.250 0.250 0.750
Er: 0.250 0.750 0.250
Er: 0.250 0.750 0.750
Er: 0.750 0.250 0.250
Er: 0.750 0.250 0.750
Er: 0.750 0.750 0.250
Er: 0.750 0.750 0.750
In: 0.000 0.000 0.000
In: 0.000 0.500 0.500
In: 0.500 0.000 0.500
In: 0.500 0.500 0.000
Ni: 0.000 0.000 0.500
Ni: 0.000 0.500 0.000
Ni: 0.500 0.000 0.000
Ni: 0.500 0.500 0.500

Er6InNi2 after structural relaxation, computed with PBE-GGA.

Properties
Density   9.21 g/cm³
Magnetic moment   0.000 μB/atom
DOS(E_F)   0.97 states/eV/atom
Total energy   -89.9 eV per cell

Cell lengths 8.342, 8.342, 8.342 Å; angles 112.55, 109.71, 106.22 degrees
Element x y z (fractional)
Er: 0.029 0.234 0.795
Er: 0.184 0.291 0.475
Er: 0.184 0.709 0.893
Er: 0.324 0.018 0.694
Er: 0.324 0.631 0.306
Er: 0.439 0.234 0.205
Er: 0.561 0.766 0.795
Er: 0.676 0.369 0.694
Er: 0.676 0.982 0.306
Er: 0.816 0.291 0.107
Er: 0.816 0.709 0.525
Er: 0.971 0.766 0.205
In: 0.000 0.000 0.000
In: 0.500 0.500 0.000
Ni: 0.123 0.623 0.500
Ni: 0.353 0.000 0.353
Ni: 0.647 0.000 0.647
Ni: 0.877 0.377 0.500

Er10In20Ni9 after structural relaxation, computed with PBE-GGA.

Properties
Density   9.12 g/cm³
Magnetic moment   0.000 μB/atom
DOS(E_F)   0.44 states/eV/atom
Total energy   -338.3 eV per cell

Cell lengths 13.346, 13.346, 9.193 Å; angles 90.00, 90.00, 90.00 degrees
Element x y z (fractional)
Er: 0.027 0.750 0.232
Er: 0.047 0.047 0.268
Er: 0.047 0.453 0.268
Er: 0.250 0.250 0.361
Er: 0.250 0.250 0.834
Er: 0.250 0.527 0.768
Er: 0.250 0.973 0.768
Er: 0.453 0.047 0.268
Er: 0.453 0.453 0.268
Er: 0.473 0.750 0.232
Er: 0.527 0.250 0.768
Er: 0.547 0.547 0.732
Er: 0.547 0.953 0.732
Er: 0.750 0.027 0.232
Er: 0.750 0.473 0.232
Er: 0.750 0.750 0.166
Er: 0.750 0.750 0.639
Er: 0.953 0.547 0.732
Er: 0.953 0.953 0.732
Er: 0.973 0.250 0.768
In: 0.084 0.250 0.091
In: 0.095 0.595 0.000
In: 0.095 0.905 0.000
In: 0.118 0.118 0.589
In: 0.118 0.382 0.589
In: 0.119 0.619 0.500
In: 0.119 0.881 0.500
In: 0.134 0.750 0.765
In: 0.250 0.084 0.091
In: 0.250 0.416 0.091
In: 0.250 0.634 0.235
In: 0.250 0.866 0.235
In: 0.366 0.750 0.765
In: 0.381 0.619 0.500
In: 0.381 0.881 0.500
In: 0.382 0.118 0.589
In: 0.382 0.382 0.589
In: 0.405 0.595 0.000
In: 0.405 0.905 0.000
In: 0.416 0.250 0.091
In: 0.584 0.750 0.909
In: 0.595 0.095 0.000
In: 0.595 0.405 0.000
In: 0.618 0.618 0.411
In: 0.618 0.882 0.411
In: 0.619 0.119 0.500
In: 0.619 0.381 0.500
In: 0.634 0.250 0.235
In: 0.750 0.134 0.765
In: 0.750 0.366 0.765
In: 0.750 0.584 0.909
In: 0.750 0.916 0.909
In: 0.866 0.250 0.235
In: 0.881 0.119 0.500
In: 0.881 0.381 0.500
In: 0.882 0.618 0.411
In: 0.882 0.882 0.411
In: 0.905 0.095 0.000
In: 0.905 0.405 0.000
In: 0.916 0.750 0.909
Ni: 0.029 0.250 0.406
Ni: 0.095 0.095 0.894
Ni: 0.095 0.405 0.894
Ni: 0.250 0.029 0.406
Ni: 0.250 0.471 0.406
Ni: 0.250 0.750 0.000
Ni: 0.405 0.095 0.894
Ni: 0.405 0.405 0.894
Ni: 0.471 0.250 0.406
Ni: 0.529 0.750 0.594
Ni: 0.595 0.595 0.106
Ni: 0.595 0.905 0.106
Ni: 0.750 0.250 0.000
Ni: 0.750 0.529 0.594
Ni: 0.750 0.971 0.594
Ni: 0.905 0.595 0.106
Ni: 0.905 0.905 0.106
Ni: 0.971 0.750 0.594

ErInNi after structural relaxation, computed with PBE-GGA.

Properties
Density   9.39 g/cm³
Magnetic moment   0.000 μB/atom
DOS(E_F)   0.68 states/eV/atom
Total energy   -28.2 eV per cell

Cell lengths 3.276, 3.276, 11.225 Å; angles 90.00, 90.00, 90.00 degrees
Element x y z (fractional)
Er: 0.000 0.000 0.000
Er: 0.500 0.500 0.500
In: 0.000 0.000 0.713
In: 0.500 0.500 0.213
Ni: 0.000 0.000 0.351
Ni: 0.500 0.500 0.851

ErIn2Ni after structural relaxation, computed with PBE-GGA.

Properties
Density   7.85 g/cm³
Magnetic moment   0.000 μB/atom
DOS(E_F)   0.93 states/eV/atom
Total energy   -44.9 eV per cell

Cell lengths 3.323, 3.323, 30.227 Å; angles 90.00, 90.00, 120.00 degrees
Element x y z (fractional)
Er: 0.000 0.000 0.000
Er: 0.333 0.667 0.667
Er: 0.667 0.333 0.333
In: 0.000 0.000 0.105
In: 0.000 0.000 0.895
In: 0.333 0.667 0.562
In: 0.333 0.667 0.772
In: 0.667 0.333 0.228
In: 0.667 0.333 0.438
Ni: 0.000 0.000 0.500
Ni: 0.333 0.667 0.167
Ni: 0.667 0.333 0.833

Er12In6Ni after structural relaxation, computed with PBE-GGA.

Properties
Density   8.38 g/cm³
Magnetic moment   0.000 μB/atom
DOS(E_F)   1.02 states/eV/atom
Total energy   -80.8 eV per cell

Cell lengths 8.194, 8.194, 8.194 Å; angles 93.92, 93.92, 93.92 degrees
Element x y z (fractional)
Er: 0.042 0.928 0.704
Er: 0.072 0.296 0.958
Er: 0.187 0.407 0.523
Er: 0.296 0.958 0.072
Er: 0.407 0.523 0.187
Er: 0.477 0.813 0.593
Er: 0.523 0.187 0.407
Er: 0.593 0.477 0.813
Er: 0.704 0.042 0.928
Er: 0.813 0.593 0.477
Er: 0.928 0.704 0.042
Er: 0.958 0.072 0.296
In: 0.154 0.763 0.364
In: 0.237 0.636 0.846
In: 0.364 0.154 0.763
In: 0.636 0.846 0.237
In: 0.763 0.364 0.154
In: 0.846 0.237 0.636
Ni: 0.500 0.500 0.500

It is found that the energy of formation from the pure elements values, taken in the order of the records, are -3.7 -1.8 -1.3 -3.3 -16.7 -1.0 0.9 -3.9 eV/f.u..